1.
Below is a relaxed ScHgPb crystal, with properties calculated at the PBE-GGA level.

```
ScHgPb
1.0
4.869 0.000 0.000
-2.435 4.217 0.000
0.000 0.000 3.634
Sc Pb Hg
1 1 1
direct
0.333 0.667 0.713 Sc
0.667 0.333 0.315 Pb
0.000 0.000 0.971 Hg
```

## Properties
E_tot, eV per atom: -3.650
Symmetry: No. 156
Total magnetization, μB per formula unit: 0.000
Energy relative to the elements, eV/f.u.: -0.61
E above lowest polymorph, meV/atom: 41.1
D(E_F), states/eV/f.u.: 1.33

=====

2.
Below is a relaxed Li5BiO4 crystal, with properties calculated at the PBE-GGA level.

```
Li5BiO4
1.0
4.756 0.000 0.000
0.000 6.339 0.000
0.000 0.000 8.058
O Li Bi
8 10 2
direct
0.006 0.000 0.271 O
0.500 0.252 0.500 O
0.994 0.500 0.229 O
0.500 0.248 0.000 O
0.500 0.752 0.000 O
0.994 0.500 0.771 O
0.006 0.000 0.729 O
0.500 0.748 0.500 O
0.771 0.248 0.323 Li
0.229 0.748 0.823 Li
0.255 0.000 0.500 Li
0.771 0.752 0.323 Li
0.771 0.248 0.677 Li
0.229 0.748 0.177 Li
0.745 0.500 0.000 Li
0.229 0.252 0.823 Li
0.229 0.252 0.177 Li
0.771 0.752 0.677 Li
0.799 0.000 0.000 Bi
0.201 0.500 0.500 Bi
```

## Properties
Formation energy without anion corrections, meV per atom: -1594
E_tot, eV per atom: -4.922
Symmetry: No. 59
Total magnetization, μB per formula unit: 0.000
E above lowest polymorph, meV/atom: 75.4
D(E_F), states/eV/f.u.: 0.00

=====

3.
Below is a relaxed PmMgGaPd2 crystal, with properties calculated at the PBE-GGA level.

```
PmMgGaPd2
1.0
4.057 0.000 0.000
0.000 4.057 0.000
-2.028 -2.028 6.111
Mg Ga Pd Pm
1 1 2 1
direct
0.750 0.250 0.500 Mg
0.250 0.750 0.500 Ga
0.611 0.611 0.223 Pd
0.389 0.389 0.777 Pd
0.000 0.000 0.000 Pm
```

## Properties
E_tot, eV per atom: -4.655
Symmetry: No. 119
Total magnetization, μB per formula unit: 0.000
Energy relative to the elements, eV/f.u.: -3.52
D(E_F), states/eV/f.u.: 3.11

=====

4.
Below is a relaxed La2Ho7Cd2 crystal, with properties calculated at the PBE-GGA level.

```
La2Ho7Cd2
1.0
-6.538 -5.232 -1.856
1.399 -5.288 3.487
-4.760 2.313 3.751
Cd Ho La
2 7 2
direct
0.840 0.378 0.378 Cd
0.160 0.622 0.622 Cd
0.411 0.863 0.863 Ho
0.828 0.878 0.525 Ho
0.000 0.000 0.000 Ho
0.589 0.137 0.137 Ho
0.172 0.475 0.122 Ho
0.172 0.122 0.475 Ho
0.828 0.525 0.878 Ho
0.500 0.319 0.681 La
0.500 0.681 0.319 La
```

## Properties
E_tot, eV per atom: -4.008
Symmetry: No. 12
Total magnetization, μB per formula unit: 0.000
Energy relative to the elements, eV/f.u.: -0.36
D(E_F), states/eV/f.u.: 12.14

=====

5.
Below is a relaxed Sm3ErPu2S6 crystal, with properties calculated at the PBE-GGA level.

```
Sm3ErPu2S6
1.0
-3.691 4.739 -3.307
-0.018 -6.500 -2.183
-3.854 -0.692 5.673
S Sm Er Pu
6 3 1 2
direct
0.080 0.410 0.241 S
0.920 0.590 0.759 S
0.249 0.249 0.756 S
0.590 0.920 0.759 S
0.410 0.080 0.241 S
0.751 0.751 0.244 S
0.168 0.832 0.500 Sm
0.500 0.500 0.500 Sm
0.832 0.168 0.500 Sm
0.000 0.000 0.000 Er
0.334 0.666 0.000 Pu
0.666 0.334 0.000 Pu
```

## Properties
Formation energy without anion corrections, meV per atom: -1947
E_tot, eV per atom: -7.959
Symmetry: No. 12
Total magnetization, μB per formula unit: 11.305
D(E_F), states/eV/f.u.: 16.58

=====

6.
Below is a relaxed Sr2Sn4HgPd3 crystal, with properties calculated at the PBE-GGA level.

```
Sr2Sn4HgPd3
1.0
4.691 0.000 0.000
0.000 4.691 0.000
0.000 0.000 11.225
Sn Pd Sr Hg
4 3 2 1
direct
0.000 0.500 0.360 Sn
0.000 0.000 0.000 Sn
0.500 0.500 0.000 Sn
0.500 0.000 0.640 Sn
0.000 0.500 0.124 Pd
0.000 0.000 0.500 Pd
0.500 0.000 0.876 Pd
0.000 0.500 0.749 Sr
0.500 0.000 0.251 Sr
0.500 0.500 0.500 Hg
```

## Properties
E_tot, eV per atom: -4.134
Symmetry: No. 115
Total magnetization, μB per formula unit: 0.000
Energy relative to the elements, eV/f.u.: -6.09
D(E_F), states/eV/f.u.: 4.23

=====

7.
Below is a relaxed K2CdAu crystal, with properties calculated at the PBE-GGA level.

```
K2CdAu
1.0
3.917 0.000 0.000
0.000 3.917 0.000
0.000 0.000 9.888
K Au Cd
2 1 1
direct
0.500 0.500 0.338 K
0.000 0.000 0.918 K
0.000 0.000 0.572 Au
0.500 0.500 0.672 Cd
```

## Properties
E_tot, eV per atom: -1.725
Symmetry: No. 99
Total magnetization, μB per formula unit: 0.000
Energy relative to the elements, eV/f.u.: -0.51
D(E_F), states/eV/f.u.: 2.27

=====

8.
Below is a relaxed Ba6Rh2Br crystal, with properties calculated at the PBE-GGA level.

```
Ba6Rh2Br
1.0
-1.354 -2.929 -3.241
0.781 -4.217 6.712
-11.690 6.043 -0.578
Ba Rh Br
6 2 1
direct
0.324 0.648 0.923 Ba
0.319 0.638 0.387 Ba
0.978 0.956 0.230 Ba
0.676 0.352 0.077 Ba
0.681 0.362 0.613 Ba
0.022 0.044 0.770 Ba
0.670 0.341 0.825 Rh
0.330 0.659 0.175 Rh
0.000 0.000 0.500 Br
```

## Properties
Formation energy without anion corrections, meV per atom: -491
E_tot, eV per atom: -3.592
Symmetry: No. 12
Total magnetization, μB per formula unit: 0.000
E above lowest polymorph, meV/atom: 0.0
D(E_F), states/eV/f.u.: 7.33

=====

9.
Below is a relaxed AcTb5NdY2 crystal, with properties calculated at the PBE-GGA level.

```
AcTb5NdY2
1.0
5.582 0.000 0.000
-2.791 12.001 0.000
0.000 0.000 9.377
Y Tb Nd Ac
4 10 2 2
direct
0.888 0.775 0.781 Y
0.112 0.225 0.281 Y
0.168 0.336 0.678 Y
0.832 0.664 0.178 Y
0.524 0.047 0.247 Tb
0.309 0.617 0.730 Tb
0.993 0.986 0.021 Tb
0.258 0.515 0.368 Tb
0.007 0.014 0.521 Tb
0.398 0.797 0.029 Tb
0.691 0.383 0.230 Tb
0.602 0.203 0.529 Tb
0.742 0.485 0.868 Tb
0.476 0.953 0.747 Tb
0.240 0.480 0.040 Nd
0.760 0.520 0.540 Nd
0.602 0.204 0.930 Ac
0.398 0.796 0.430 Ac
```

## Properties
E_tot, eV per atom: -4.848
Symmetry: No. 36
Total magnetization, μB per formula unit: 0.000
Energy relative to the elements, eV/f.u.: 1.32
D(E_F), states/eV/f.u.: 11.56

=====

10.
Below is a relaxed ZrCuNi2 crystal, with properties calculated at the PBE-GGA level.

```
ZrCuNi2
1.0
-3.914 -2.482 -4.865
5.335 -0.455 -4.059
1.169 -3.907 -3.587
Zr Cu Ni
2 2 4
direct
0.750 0.250 0.500 Zr
0.000 0.000 0.000 Zr
0.500 0.500 0.000 Cu
0.250 0.750 0.500 Cu
0.147 0.625 0.250 Ni
0.875 0.853 0.750 Ni
0.375 0.397 0.750 Ni
0.603 0.125 0.250 Ni
```

## Properties
E_tot, eV per atom: -5.953
Symmetry: No. 122
Total magnetization, μB per formula unit: 0.000
Energy relative to the elements, eV/f.u.: 0.39
D(E_F), states/eV/f.u.: 4.24

=====

11.
Below is a relaxed PuZn2Tc crystal, with properties calculated at the PBE-GGA level.

```
PuZn2Tc
1.0
4.732 -0.076 0.000
-1.346 4.721 0.000
0.000 0.000 6.393
Zn Pu Tc
4 2 2
direct
0.573 0.270 0.550 Zn
0.427 0.730 0.450 Zn
0.427 0.730 0.050 Zn
0.573 0.270 0.950 Zn
0.959 0.857 0.750 Pu
0.041 0.143 0.250 Pu
0.098 0.389 0.750 Tc
0.902 0.611 0.250 Tc
```

## Properties
E_tot, eV per atom: -6.888
Symmetry: No. 11
Total magnetization, μB per formula unit: 4.096
Energy relative to the elements, eV/f.u.: -0.31
D(E_F), states/eV/f.u.: 7.56

=====

12.
Below is a relaxed Ac3ReBr2O6 crystal, with properties calculated at the PBE-GGA level.

```
Ac3ReBr2O6
1.0
-5.206 2.960 -0.317
-3.016 -5.590 -2.651
-0.702 1.331 6.927
O Re Br Ac
6 1 2 3
direct
0.312 0.726 0.893 O
0.341 0.146 0.291 O
0.312 0.167 0.893 O
0.659 0.854 0.709 O
0.688 0.274 0.107 O
0.688 0.833 0.107 O
0.500 0.000 0.000 Re
0.086 0.730 0.461 Br
0.914 0.270 0.539 Br
0.500 0.500 0.500 Ac
0.000 0.500 0.000 Ac
0.500 0.000 0.500 Ac
```

## Properties
Formation energy without anion corrections, meV per atom: -2117
E_tot, eV per atom: -6.939
Symmetry: No. 12
Total magnetization, μB per formula unit: 1.130
D(E_F), states/eV/f.u.: 5.67

=====

13.
Below is a relaxed TbPrDyEr3 crystal, with properties calculated at the PBE-GGA level.

```
TbPrDyEr3
1.0
-1.248 0.032 6.151
-6.855 -4.076 -7.773
3.425 -5.738 0.729
Er Tb Dy Pr
6 2 2 2
direct
0.248 0.416 0.663 Er
0.915 0.583 0.833 Er
0.085 0.417 0.167 Er
0.752 0.584 0.337 Er
0.751 0.084 0.833 Er
0.249 0.916 0.167 Er
0.412 0.749 0.501 Tb
0.588 0.251 0.499 Tb
0.916 0.084 0.336 Dy
0.084 0.916 0.664 Dy
0.581 0.750 0.001 Pr
0.419 0.250 0.999 Pr
```

## Properties
E_tot, eV per atom: -4.606
Symmetry: No. 2
Total magnetization, μB per formula unit: 0.000
Energy relative to the elements, eV/f.u.: 0.07
D(E_F), states/eV/f.u.: 10.21

=====

14.
Below is a relaxed Ac2ScSb crystal, with properties calculated at the PBE-GGA level.

```
Ac2ScSb
1.0
4.788 0.000 0.000
0.000 5.216 0.000
0.000 0.000 5.216
Sb Ac Sc
1 2 1
direct
0.500 0.500 0.500 Sb
0.000 0.500 0.000 Ac
0.000 0.000 0.500 Ac
0.500 0.000 0.000 Sc
```

## Properties
Formation energy without anion corrections, meV per atom: -377
E_tot, eV per atom: -5.045
Symmetry: No. 123
Total magnetization, μB per formula unit: 0.000
E above lowest polymorph, meV/atom: 0.0
D(E_F), states/eV/f.u.: 4.71

=====

15.
Below is a relaxed AlH2I crystal, with properties calculated at the PBE-GGA level.

```
AlH2I
1.0
5.616 0.000 0.000
0.000 5.616 0.000
2.808 2.808 3.974
H Al I
4 2 2
direct
0.375 0.626 0.750 H
0.875 0.624 0.750 H
0.374 0.125 0.250 H
0.376 0.625 0.250 H
0.500 0.500 0.000 Al
0.250 0.750 0.500 Al
0.750 0.250 0.500 I
0.000 0.000 0.000 I
```

## Properties
E_tot, eV per atom: -2.940
Symmetry: No. 122
Total magnetization, μB per formula unit: 0.000
E above lowest polymorph, meV/atom: 242.8
D(E_F), states/eV/f.u.: 2.22

=====

16.
Below is a relaxed LaPm2Nd2Y crystal, with properties calculated at the PBE-GGA level.

```
LaPm2Nd2Y
1.0
-2.298 5.318 -0.381
-4.257 -2.218 -5.294
-7.016 -2.551 6.711
Nd Y La Pm
4 2 2 4
direct
0.500 0.008 0.000 Nd
0.000 0.258 0.170 Nd
0.000 0.758 0.830 Nd
0.500 0.508 0.000 Nd
0.500 0.757 0.335 Y
0.500 0.257 0.665 Y
0.000 0.508 0.500 La
0.000 0.008 0.500 La
0.500 0.257 0.329 Pm
0.500 0.757 0.671 Pm
0.000 0.258 0.837 Pm
0.000 0.758 0.163 Pm
```

## Properties
E_tot, eV per atom: -5.020
Symmetry: No. 51
Total magnetization, μB per formula unit: 0.000
Energy relative to the elements, eV/f.u.: 0.31
D(E_F), states/eV/f.u.: 8.96

=====

17.
Below is a relaxed ZnGaPOs2 crystal, with properties calculated at the PBE-GGA level.

```
ZnGaPOs2
1.0
4.607 0.000 0.000
0.000 4.234 0.000
0.000 0.000 4.607
Os Zn Ga P
2 1 1 1
direct
0.000 0.000 0.500 Os
0.500 0.000 0.000 Os
0.000 0.000 0.000 Zn
0.000 0.500 0.000 Ga
0.500 0.500 0.500 P
```

## Properties
E_tot, eV per atom: -4.644
Symmetry: No. 123
Total magnetization, μB per formula unit: 0.000
Energy relative to the elements, eV/f.u.: 8.95
D(E_F), states/eV/f.u.: 3.11

=====

18.
Below is a relaxed TeBr4N2 crystal, with properties calculated at the PBE-GGA level.

```
TeBr4N2
1.0
4.056 0.000 -0.678
-0.010 7.160 -0.062
-0.686 1.548 8.360
Te Br N
1 4 2
direct
0.000 0.000 0.000 Te
0.114 0.691 0.229 Br
0.886 0.309 0.771 Br
0.415 0.843 0.830 Br
0.585 0.157 0.170 Br
0.775 0.718 0.550 N
0.225 0.282 0.450 N
```

## Properties
Formation energy without anion corrections, meV per atom: 1290
E_tot, eV per atom: -2.493
Symmetry: No. 12
Total magnetization, μB per formula unit: 5.974

=====

19.
Below is a relaxed LiHoPdPb crystal, with properties calculated at the PBE-GGA level.

```
LiHoPdPb
1.0
-2.175 -0.985 -4.183
2.626 -1.187 -3.859
-0.078 -4.518 -1.669
Pb Ho Li Pd
1 1 1 1
direct
0.250 0.250 0.250 Pb
0.750 0.750 0.750 Ho
0.000 0.000 0.000 Li
0.500 0.500 0.500 Pd
```

## Properties
E_tot, eV per atom: -4.481
Symmetry: No. 216
Total magnetization, μB per formula unit: 0.000
Energy relative to the elements, eV/f.u.: -2.53
D(E_F), states/eV/f.u.: 0.28

=====

20.
Below is a relaxed LaGaBiAu crystal, with properties calculated at the PBE-GGA level.

```
LaGaBiAu
1.0
-4.743 -0.494 -2.212
-1.265 -4.421 -2.547
-3.531 -3.304 2.063
Bi Ga La Au
1 1 1 1
direct
0.500 0.500 0.500 Bi
0.250 0.250 0.250 Ga
0.000 0.000 0.000 La
0.750 0.750 0.750 Au
```

## Properties
E_tot, eV per atom: -4.285
Symmetry: No. 216
Total magnetization, μB per formula unit: 0.000
Energy relative to the elements, eV/f.u.: -2.03
D(E_F), states/eV/f.u.: 1.97

=====

21.
Below is a relaxed Tb2DyTh3Te6 crystal, with properties calculated at the PBE-GGA level.

```
Tb2DyTh3Te6
1.0
4.264 0.000 0.000
0.000 9.162 -0.254
-2.132 -3.247 9.416
Te Dy Th Tb
6 1 3 2
direct
0.331 0.425 0.661 Te
0.669 0.575 0.339 Te
0.997 0.758 0.995 Te
0.663 0.089 0.327 Te
0.337 0.911 0.673 Te
0.003 0.242 0.005 Te
0.500 0.000 0.000 Dy
0.500 0.500 0.000 Th
0.167 0.832 0.334 Th
0.833 0.168 0.666 Th
0.167 0.332 0.334 Tb
0.833 0.668 0.666 Tb
```

## Properties
Formation energy without anion corrections, meV per atom: -1149
E_tot, eV per atom: -5.730
Symmetry: No. 12
Total magnetization, μB per formula unit: 0.000
D(E_F), states/eV/f.u.: 9.77

=====

22.
Below is a relaxed Dy3Tm4Sc2 crystal, with properties calculated at the PBE-GGA level.

```
Dy3Tm4Sc2
1.0
-5.659 2.643 -0.778
-2.265 -8.582 3.138
2.107 2.464 8.841
Tm Dy Sc
8 6 4
direct
0.492 0.453 0.816 Tm
0.005 0.673 0.083 Tm
0.505 0.083 0.673 Tm
0.992 0.816 0.453 Tm
0.495 0.917 0.327 Tm
0.008 0.184 0.547 Tm
0.508 0.547 0.184 Tm
0.995 0.327 0.917 Tm
0.750 0.459 0.541 Dy
0.977 0.027 0.172 Dy
0.023 0.973 0.828 Dy
0.477 0.173 0.027 Dy
0.523 0.827 0.973 Dy
0.250 0.541 0.459 Dy
0.128 0.659 0.753 Sc
0.628 0.754 0.659 Sc
0.372 0.246 0.341 Sc
0.872 0.341 0.247 Sc
```

## Properties
E_tot, eV per atom: -4.802
Symmetry: No. 15
Total magnetization, μB per formula unit: 0.000
Energy relative to the elements, eV/f.u.: 1.14
E above lowest polymorph, meV/atom: 29.5
D(E_F), states/eV/f.u.: 13.40

=====

23.
Below is a relaxed Cs4K2ZnSb2 crystal, with properties calculated at the PBE-GGA level.

```
Cs4K2ZnSb2
1.0
5.993 0.007 0.004
1.306 9.104 -0.854
1.306 2.549 8.782
Zn Cs K Sb
1 4 2 2
direct
0.500 0.000 0.000 Zn
0.206 0.649 0.088 Cs
0.206 0.088 0.649 Cs
0.794 0.351 0.912 Cs
0.794 0.912 0.351 Cs
0.715 0.357 0.357 K
0.285 0.643 0.643 K
0.707 0.825 0.825 Sb
0.293 0.175 0.175 Sb
```

## Properties
Formation energy without anion corrections, meV per atom: -258
E_tot, eV per atom: -1.939
Symmetry: No. 12
Total magnetization, μB per formula unit: 0.000
D(E_F), states/eV/f.u.: 1.39